Below is a relaxed structure of ThCo2Tc, with properties calculated at the PBE-GGA level.

**Space group**: R-3m
**Uncorrected energy**: -0.5939 Ry/atom
**ΔH_f (0 K)**: -0.081 eV per atom

Lattice parameters (Å, degrees): 5.4038 5.4038 5.4038 44.90 44.90 44.90
Element x y z (fractional)
Th (0.0000, 0.0000, 0.0000)
Co (0.1991, 0.1991, 0.1991)
Co (0.8009, 0.8009, 0.8009)
Tc (0.5000, 0.5000, 0.5000)